BaLi2GeI8 | PBE-GGA | relaxed

abc: 7.4243 7.4243 9.4998
angles: 90.00 90.00 120.00
With the nearest neighbours (Å) after each atom.
Space group P-3 (No. 147)
Inequivalent atoms, fractional coordinates:
Ba  0.0000  0.0000  0.0000 x1  6 I 3.76
Li  0.3333  0.6667  0.7194 x2  4 I 2.71-2.81
Ge  0.0000  0.0000  0.5000 x1  6 I 2.82
I  0.0329  0.7175  0.3183 x6  1 Li 2.81, 1 Ge 2.82
I  0.3333  0.6667  0.0052 x2  1 Li 2.71

Values from the calculation:
density of states at the Fermi level = 7.286 states/eV per cell
uncorrected energy = -32.379 eV/cell
total moment = 0.00 μB per cell